{"formula": "AgSbN2O", "functional": "PBE", "state": "optimized geometry", "cell": [[4.0876, 0.0000, 0.0000], [0.0000, 4.0876, 0.0000], [0.0000, 0.0000, 4.0651]], "species": ["Ag", "Sb", "N", "N", "O"], "frac_coords": [[0.0000, 0.0000, 0.0000], [0.5000, 0.5000, 0.5000], [0.0000, 0.5000, 0.0000], [0.5000, 0.0000, 0.0000], [0.0000, 0.0000, 0.5000]], "raw_formation_energy_ev_per_atom": 1.491, "magmom_total_mub_per_cell": 1.3}


{"formula": "LaY4Ru2", "functional": "PBE", "state": "optimized geometry", "cell": [[7.7122, 0.0000, 0.0000], [0.0000, 6.4935, 0.0000], [-3.3683, 0.0000, 7.5721]], "species": ["La", "La", "Y", "Y", "Y", "Y", "Y", "Y", "Y", "Y", "Ru", "Ru", "Ru", "Ru"], "frac_coords": [[0.0242, 0.2500, 0.1754], [0.9758, 0.7500, 0.8246], [0.2492, 0.5014, 0.5873], [0.2492, 0.9986, 0.5873], [0.3220, 0.7500, 0.2596], [0.3792, 0.2500, 0.0136], [0.6208, 0.7500, 0.9864], [0.6780, 0.2500, 0.7404], [0.7508, 0.0014, 0.4127], [0.7508, 0.4986, 0.4127], [0.0207, 0.2500, 0.7192], [0.3980, 0.2500, 0.3595], [0.6020, 0.7500, 0.6405], [0.9793, 0.7500, 0.2808]], "magmom_total_mub_per_cell": 0.0, "total_energy_ev_per_cell": -101.84}


{"formula": "RbPmCl2", "functional": "PBE", "state": "optimized geometry", "cell": [[1.9273, 1.1127, 10.2948], [-1.9273, 1.1127, 10.2948], [0.0000, -2.2255, 10.2948]], "species": ["Rb", "Pm", "Cl", "Cl"], "frac_coords": [[0.0000, 0.0000, 0.0000], [0.5000, 0.5000, 0.5000], [0.1048, 0.1048, 0.1048], [0.8952, 0.8952, 0.8952]], "raw_formation_energy_ev_per_atom": -1.402, "magmom_total_mub_per_cell": 0.0}


{"formula": "Sm6SiCl8", "functional": "PBE", "state": "optimized geometry", "cell": [[3.5281, 2.0370, 10.1318], [-3.5281, 2.0370, 10.1318], [0.0000, -4.0739, 10.1318]], "species": ["Sm", "Sm", "Sm", "Sm", "Sm", "Sm", "Si", "Cl", "Cl", "Cl", "Cl", "Cl", "Cl", "Cl", "Cl"], "frac_coords": [[0.0533, 0.3632, 0.7433], [0.2567, 0.9467, 0.6368], [0.3632, 0.7433, 0.0533], [0.6368, 0.2567, 0.9467], [0.7433, 0.0533, 0.3632], [0.9467, 0.6368, 0.2567], [0.0000, 0.0000, 0.0000], [0.1065, 0.7683, 0.4447], [0.2317, 0.5553, 0.8935], [0.3333, 0.3333, 0.3333], [0.4447, 0.1065, 0.7683], [0.5553, 0.8935, 0.2317], [0.6667, 0.6667, 0.6667], [0.7683, 0.4447, 0.1065], [0.8935, 0.2317, 0.5553]], "raw_formation_energy_ev_per_atom": -1.711, "magmom_total_mub_per_cell": 0.0}


{"formula": "CaZn2Si2", "functional": "PBE", "state": "optimized geometry", "cell": [[4.1790, 0.0000, 0.0000], [0.0000, 4.1790, 0.0000], [0.0000, 0.0000, 10.5132]], "species": ["Ca", "Ca", "Zn", "Zn", "Zn", "Zn", "Si", "Si", "Si", "Si"], "frac_coords": [[0.2500, 0.2500, 0.2485], [0.7500, 0.7500, 0.7515], [0.2500, 0.2500, 0.8651], [0.2500, 0.7500, 0.5000], [0.7500, 0.2500, 0.5000], [0.7500, 0.7500, 0.1349], [0.2500, 0.2500, 0.6369], [0.2500, 0.7500, 0.0000], [0.7500, 0.2500, 0.0000], [0.7500, 0.7500, 0.3631]], "raw_formation_energy_ev_per_atom": -0.254, "magmom_total_mub_per_cell": 0.0}


{"formula": "Ac3InPt", "functional": "PBE", "state": "optimized geometry", "cell": [[10.3390, 0.0000, 0.0000], [0.0000, 7.4000, 0.0000], [-4.4077, 0.0000, 9.7749]], "species": ["Ac", "Ac", "Ac", "Ac", "Ac", "Ac", "Ac", "Ac", "Ac", "Ac", "Ac", "Ac", "In", "In", "In", "In", "Pt", "Pt", "Pt", "Pt"], "frac_coords": [[0.0964, 0.0668, 0.3661], [0.0964, 0.4332, 0.8661], [0.2089, 0.5800, 0.5572], [0.2089, 0.9200, 0.0572], [0.3833, 0.0896, 0.7749], [0.3833, 0.4104, 0.2749], [0.6167, 0.5896, 0.7251], [0.6167, 0.9104, 0.2251], [0.7911, 0.0800, 0.9428], [0.7911, 0.4200, 0.4428], [0.9036, 0.5668, 0.1339], [0.9036, 0.9332, 0.6339], [0.4253, 0.6645, 0.9241], [0.4253, 0.8355, 0.4241], [0.5747, 0.1645, 0.5759], [0.5747, 0.3355, 0.0759], [0.0839, 0.2423, 0.6137], [0.0839, 0.2577, 0.1137], [0.9161, 0.7423, 0.8863], [0.9161, 0.7577, 0.3863]], "magmom_total_mub_per_cell": 0.0, "total_energy_ev_per_cell": -96.93}